# BaCdGa4Au2

A geometry-optimized BaCdGa4Au2 structure (PBE, Alexandria).

Calculated density: 8.3 g cm⁻³
N(E_F): 1.68 states/eV/cell

a b c (Å): 10.614 10.614 10.614
angles (deg): 24.76 24.76 24.76
Fractional coordinates of all 8 atoms:
Ba 0.000 0.000 0.000
Cd 0.500 0.500 0.500
Ga 0.120 0.120 0.120
Ga 0.404 0.404 0.404
Ga 0.596 0.596 0.596
Ga 0.880 0.880 0.880
Au 0.245 0.245 0.245
Au 0.755 0.755 0.755

***

# Ba2CdGa4Au3

A geometry-optimized Ba2CdGa4Au3 structure (PBE, Alexandria).

Calculated density: 8.7 g cm⁻³
N(E_F): 4.55 states/eV/cell

a b c (Å): 4.675 4.675 10.967
angles (deg): 90.00 90.00 90.00
Fractional coordinates of all 10 atoms:
Ba 0.000 0.500 0.244
Ba 0.500 0.000 0.756
Cd 0.000 0.000 0.500
Ga 0.000 0.000 0.000
Ga 0.000 0.500 0.635
Ga 0.500 0.000 0.365
Ga 0.500 0.500 0.000
Au 0.000 0.500 0.878
Au 0.500 0.000 0.122
Au 0.500 0.500 0.500

***

# BaCdGaAu6

A geometry-optimized BaCdGaAu6 structure (PBE, Alexandria).

Calculated density: 9.9 g cm⁻³
N(E_F): 7.84 states/eV/cell

a b c (Å): 9.106 9.106 9.106
angles (deg): 126.26 119.83 84.90
Fractional coordinates of all 18 atoms:
Ba 0.389 0.139 0.250
Ba 0.611 0.861 0.750
Cd 0.000 0.000 0.500
Cd 0.000 0.500 0.000
Ga 0.000 0.500 0.500
Ga 0.500 0.500 0.000
Au 0.141 0.891 0.250
Au 0.171 0.478 0.333
Au 0.171 0.838 0.693
Au 0.334 0.584 0.750
Au 0.355 0.162 0.833
Au 0.355 0.522 0.193
Au 0.645 0.478 0.807
Au 0.645 0.838 0.167
Au 0.666 0.416 0.250
Au 0.829 0.162 0.307
Au 0.829 0.522 0.667
Au 0.859 0.109 0.750

***

DFT formation energy / meV per atom: -290; -521; -137